Computed, not measured: a relaxed structure of PrYTm4 at the GGA-PBE level of DFT.

Calculated values
- calculated density (g cm⁻³) = 7.784
- energy relative to the elements (eV per atom) = 0.155

abc: 8.730 14.629 6.519
angles: 90.00 111.87 90.00
Space group C2/c (No. 15)
Asymmetric unit:
Pr 0.000 0.008 0.250 x4
Y 0.000 0.415 0.250 x4
Tm 0.091 0.199 0.540 x8
Tm 0.200 0.369 0.888 x8


Computed, not measured: a relaxed structure of Pr5YTm4 at the GGA-PBE level of DFT.

Calculated values
- calculated density (g cm⁻³) = 7.336
- energy relative to the elements (eV per atom) = 0.019

abc: 3.637 3.637 25.138
angles: 90.00 90.00 90.00
Space group P4/mmm (No. 123)
Asymmetric unit:
Pr 0.000 0.000 0.000 x1
Pr 0.000 0.000 0.199 x2
Pr 0.000 0.000 0.398 x2
Y 0.500 0.500 0.500 x1
Tm 0.500 0.500 0.099 x2
Tm 0.500 0.500 0.298 x2


Question: What is the energy relative to the elements in the first record?
Answer: 0.155 eV per atom


Question: Which of these has the lowest calculated density?
Answer: Pr5YTm4